# ZnMoO2F

A relaxed structure of ZnMoO2F (PBE with a Hubbard U, Alexandria).

a = 4.032 Å, b = 4.032 Å, c = 4.205 Å
α = 90.00°, β = 90.00°, γ = 90.00°
Element x y z (fractional)
Zn: 0.000 0.000 0.000
Mo: 0.500 0.500 0.500
O: 0.000 0.500 0.500
O: 0.500 0.000 0.500
F: 0.500 0.500 0.000

- Total DFT energy (no corrections): -5.243 eV per atom